Entry 1:
! CsPb2Au2, relaxed, DFT GGA-PBEsol; values from VASP
&SYSTEM
  ibrav = 0, nat = 5, ntyp = 3
/
ATOMIC_SPECIES
Pb 207.20 Pb.upf
Au 196.97 Au.upf
Cs 132.91 Cs.upf
ATOMIC_POSITIONS angstrom
Pb 2.538 2.538 1.714
Au 0.000 2.538 2.967
Au 2.538 0.000 2.967
Pb 0.000 0.000 4.220
Cs 0.000 0.000 0.000
CELL_PARAMETERS angstrom
5.075 0.000 0.000
0.000 5.075 0.000
-2.538 -2.538 5.933
! spin magnetization: 0.00 μB per atom
! energy of formation from the pure elements: -0.6 eV per formula unit
! symmetry: I4/mmm, No. 139
! E_tot: -3.475 eV/atom

Entry 2:
! Co2SeBr, relaxed, DFT GGA-PBEsol; values from VASP
&SYSTEM
  ibrav = 0, nat = 4, ntyp = 3
/
ATOMIC_SPECIES
Br 79.90 Br.upf
Se 78.96 Se.upf
Co 58.93 Co.upf
ATOMIC_POSITIONS angstrom
Br 3.612 -3.858 0.640
Se 1.241 -1.556 2.457
Co 0.543 -0.458 0.551
Co -0.663 -2.482 1.539
CELL_PARAMETERS angstrom
-1.134 -0.939 3.300
-1.279 -3.110 -1.324
5.141 -2.557 1.041
! spin magnetization: 0.81 μB per atom
! energy relative to the lowest polymorph listed for this composition: 0.00 eV per formula unit
! energy relative to the elements, uncorrected: -15.7 kJ/mol of formula units
! symmetry: P4mm, No. 99
! E_tot: -5.339 eV/atom

Entry 3:
! Sr2YNi, relaxed, DFT GGA-PBEsol; values from VASP
&SYSTEM
  ibrav = 0, nat = 4, ntyp = 3
/
ATOMIC_SPECIES
Y 88.91 Y.upf
Ni 58.69 Ni.upf
Sr 87.62 Sr.upf
ATOMIC_POSITIONS angstrom
Y 2.269 2.269 0.000
Ni 0.000 0.000 0.000
Sr 2.269 0.000 2.761
Sr 0.000 2.269 2.761
CELL_PARAMETERS angstrom
4.539 0.000 0.000
0.000 4.539 0.000
-2.269 -2.269 5.522
! spin magnetization: 0.00 μB per atom
! energy relative to the lowest polymorph listed for this composition: 1.51 eV per formula unit
! energy of formation from the pure elements: 1.9 eV per formula unit
! symmetry: I4/mmm, No. 139
! E_tot: -3.696 eV/atom

Entry 4:
! InPb2Au, relaxed, DFT GGA-PBEsol; values from VASP
&SYSTEM
  ibrav = 0, nat = 4, ntyp = 3
/
ATOMIC_SPECIES
Pb 207.20 Pb.upf
Au 196.97 Au.upf
In 114.82 In.upf
ATOMIC_POSITIONS angstrom
Pb 0.000 0.000 7.595
Au 0.000 0.000 4.076
In 1.785 1.785 5.519
Pb 1.785 1.785 2.270
CELL_PARAMETERS angstrom
3.570 0.000 0.000
0.000 3.570 0.000
0.000 0.000 7.784
! spin magnetization: 0.00 μB per atom
! energy of formation from the pure elements: -0.2 eV per formula unit
! symmetry: P4mm, No. 99
! E_tot: -3.772 eV/atom